An optimized crystal structure of MnHg4Pt. Source: the Alexandria database, functional PBE-GGA.

Unit cell a=5.6625 b=5.6625 c=5.6625 alpha=60.00 beta=60.00 gamma=60.00
Last column: nearest neighbours and their distance in Å.
Element x y z (fractional)
Mn1 0.7500 0.7500 0.7500  12 Hg 3.32, 4 Pt 3.47
Hg1 0.8755 0.3748 0.3748  6 Hg 2.83
Hg2 0.3748 0.3748 0.8755  6 Hg 2.83
Hg3 0.3748 0.8755 0.3748  6 Hg 2.83
Hg4 0.3748 0.3748 0.3748  6 Hg 2.83
Pt1 0.0000 0.0000 0.0000  12 Hg 3.32, 4 Mn 3.47

Results
Energy (eV/cell): -13.2
Spin magnetization (μB/cell): 4.73
ρ (g/cm3): 13.61
Symmetry: No. 216